GGA+U VRhF2, optimized geometry; polymorph energy (0 for the lowest one) = 478 meV/atom; V = 52.7 Å³/f.u.; density of states at the Fermi level = 0.59 states/eV per atom; calculated total energy = -21.41 eV/f.u.
1.0
-0.9283 -2.1813 2.9696
1.7409 -2.9586 -1.6290
6.6444 -0.7208 3.9785
V Rh F
2 2 4
direct
0.5000 0.5000 0.0000
0.2500 0.7500 0.5000
0.0000 0.0000 0.0000
0.7500 0.2500 0.5000
0.5963 0.1250 0.2500
0.1537 0.6250 0.2500
0.3750 0.4037 0.7500
0.8750 0.8463 0.7500